Entry 1:
Compound: Pa2SeBr
Source: Alexandria via LeMat-Bulk
Functional: GGA-PBE
Structure: optimized geometry

Summary:
- DOS at the Fermi energy: 7.01 states/eV/f.u.
- Energy: -6.811 eV/atom
- ΔE_f (raw): -0.774 eV per atom

Cell: 3.5754 3.5754 8.9082 Å, 78.42 78.42 60.00°
Last column: nearest neighbours and their distance in Å.
Positions (direct):
Pa1 0.2561 0.2561 0.2318  3 Se 2.88, 3 Br 3.11
Pa2 0.7439 0.7439 0.7682  3 Se 2.88, 3 Br 3.11
Br1 0.5000 0.5000 0.5000  6 Pa 3.11
Se1 0.0000 0.0000 0.0000  6 Pa 2.88

Entry 2:
Compound: PaSeBr
Source: Alexandria via LeMat-Bulk
Functional: GGA-PBE
Structure: optimized geometry

Summary:
- DOS at the Fermi energy: 8.24 states/eV/f.u.
- Energy: -5.898 eV/atom
- ΔE_f (raw): -1.014 eV per atom

Cell: 4.9437 4.9437 4.9437 Å, 60.00 60.00 60.00°
Last column: nearest neighbours and their distance in Å.
Positions (direct):
Br1 0.5000 0.5000 0.5000  4 Pa 3.03
Pa1 0.2500 0.2500 0.2500  4 Se 3.03, 4 Br 3.03
Se1 0.0000 0.0000 0.0000  4 Pa 3.03

Entry 3:
Compound: Pa2SeBr
Source: Alexandria via LeMat-Bulk
Functional: GGA-PBE
Structure: optimized geometry

Summary:
- DOS at the Fermi energy: 9.64 states/eV/f.u.
- Energy: -6.538 eV/atom
- ΔE_f (raw): -0.501 eV per atom

Cell: 3.6032 5.0435 5.0435 Å, 90.00 90.00 90.00°
Last column: nearest neighbours and their distance in Å.
Positions (direct):
Pa1 0.0000 0.5000 0.0000  4 Br 3.10, 4 Se 3.10
Pa2 0.0000 0.0000 0.5000  4 Se 3.10, 4 Br 3.10
Br1 0.5000 0.0000 0.0000  8 Pa 3.10
Se1 0.5000 0.5000 0.5000  8 Pa 3.10

Entry 4:
Compound: Pa2Se2Br
Source: Alexandria via LeMat-Bulk
Functional: GGA-PBE
Structure: optimized geometry

Summary:
- DOS at the Fermi energy: 7.86 states/eV/f.u.
- Energy: -6.652 eV/atom
- ΔE_f (raw): -1.125 eV per atom

Cell: 3.7454 5.5952 7.3859 Å, 112.26 104.69 90.00°
Last column: nearest neighbours and their distance in Å.
Positions (direct):
Br1 0.0000 0.0000 0.0000  4 Pa 3.02
Pa1 0.6807 0.1807 0.3613  4 Se 2.82-2.88, 2 Br 3.02
Pa2 0.3193 0.8193 0.6387  4 Se 2.82-2.88, 2 Br 3.02
Se1 0.6524 0.6524 0.3049  4 Pa 2.82-2.88
Se2 0.3476 0.3476 0.6951  4 Pa 2.82-2.88

Entry 5:
Compound: Pa6Se12Br
Source: Alexandria via LeMat-Bulk
Functional: GGA-PBE
Structure: optimized geometry

Summary:
- DOS at the Fermi energy: 16.87 states/eV/f.u.
- Energy: -6.534 eV/atom
- ΔE_f (raw): -1.247 eV per atom

Cell: 8.4425 8.4425 8.4425 Å, 104.11 104.11 104.11°
Last column: nearest neighbours and their distance in Å.
Positions (direct):
Se1 0.8724 0.5000 0.1276  4 Pa 2.94-2.98
Se2 0.8172 0.5539 0.5539  3 Pa 2.81-2.86
Se3 0.5539 0.5539 0.8172  3 Pa 2.81-2.86
Se4 0.4461 0.4461 0.1828  3 Pa 2.81-2.86
Se5 0.1276 0.8724 0.5000  4 Pa 2.94-2.98
Se6 0.5000 0.1276 0.8724  4 Pa 2.94-2.98
Se7 0.1276 0.5000 0.8724  4 Pa 2.94-2.98
Se8 0.4461 0.1828 0.4461  3 Pa 2.81-2.86
Se9 0.1828 0.4461 0.4461  3 Pa 2.81-2.86
Se10 0.5000 0.8724 0.1276  4 Pa 2.94-2.98
Se11 0.5539 0.8172 0.5539  3 Pa 2.81-2.86
Se12 0.8724 0.1276 0.5000  4 Pa 2.94-2.98
Br1 0.0000 0.0000 0.0000  18 Se 4.26-4.55, 6 Pa 4.55
Pa1 0.3323 0.7457 0.7457  7 Se 2.81-2.98
Pa2 0.2543 0.2543 0.6677  7 Se 2.81-2.98
Pa3 0.7457 0.3323 0.7457  7 Se 2.81-2.98
Pa4 0.6677 0.2543 0.2543  7 Se 2.81-2.98
Pa5 0.2543 0.6677 0.2543  7 Se 2.81-2.98
Pa6 0.7457 0.7457 0.3323  7 Se 2.81-2.98

Entry 6:
Compound: PaSe6Br12
Source: Alexandria via LeMat-Bulk
Functional: GGA-PBE
Structure: optimized geometry

Summary:
- DOS at the Fermi energy: 7.33 states/eV/f.u.
- Energy: -3.060 eV/atom
- ΔE_f (raw): -0.403 eV per atom

Cell: 9.1870 9.1870 9.1870 Å, 81.32 81.32 81.32°
Last column: nearest neighbours and their distance in Å.
Positions (direct):
Br1 0.5239 0.1396 0.6177  1 Se 2.48
Br2 0.7078 0.0705 0.9620  1 Pa 2.73
Br3 0.9295 0.0380 0.2922  1 Pa 2.73
Br4 0.3823 0.4761 0.8604  1 Se 2.48
Br5 0.6177 0.5239 0.1396  1 Se 2.48
Br6 0.8604 0.3823 0.4761  1 Se 2.48
Br7 0.4761 0.8604 0.3823  1 Se 2.48
Br8 0.2922 0.9295 0.0380  1 Pa 2.73
Br9 0.1396 0.6177 0.5239  1 Se 2.48
Br10 0.0380 0.2922 0.9295  1 Pa 2.73
Br11 0.9620 0.7078 0.0705  1 Pa 2.73
Br12 0.0705 0.9620 0.7078  1 Pa 2.73
Pa1 0.0000 0.0000 0.0000  6 Br 2.73
Se1 0.3701 0.4362 0.2000  1 Br 2.48, 2 Se 2.53
Se2 0.6299 0.5638 0.8000  1 Br 2.48, 2 Se 2.53
Se3 0.2000 0.3701 0.4362  1 Br 2.48, 2 Se 2.53
Se4 0.5638 0.8000 0.6299  1 Br 2.48, 2 Se 2.53
Se5 0.4362 0.2000 0.3701  1 Br 2.48, 2 Se 2.53
Se6 0.8000 0.6299 0.5638  1 Br 2.48, 2 Se 2.53

Question: Look up the DOS at the Fermi energy of the fifth one.
Answer: 16.87 states/eV/f.u.

Question: Look up the DOS at the Fermi energy of the sixth one.
Answer: 7.33 states/eV/f.u.

Question: Among the records above, which one has the lowest ΔE_f (raw)?
Answer: Pa6Se12Br